Y2Ga3AgAu4: relaxed, PBE.

- ΔH_f (0 K): -0.53 eV per atom
- ρ: 10.35 g/cm3
- M_tot: 0.000 μB/f.u.

Cell: 4.2405 4.2405 11.4410 Å, 90.00 90.00 90.00°
Closest atoms and distances in Å follow each position.
Space group P-4m2 (No. 115)
Inequivalent atoms, fractional coordinates:
Y 0.0000 0.5000 0.2410 (multiplicity 2)  8 Au 3.23-3.48, 4 Ga 3.25
Ga 0.0000 0.5000 0.8692 (multiplicity 2)  5 Au 2.47-2.60
Ga 0.5000 0.5000 0.5000 (multiplicity 1)  4 Au 2.75, 4 Ag 3.00
Ag 0.0000 0.0000 0.5000 (multiplicity 1)  4 Au 2.75, 4 Ga 3.00
Au 0.0000 0.0000 0.0000 (multiplicity 1)  4 Ga 2.60
Au 0.0000 0.5000 0.6532 (multiplicity 2)  3 Ga 2.47-2.75, 2 Ag 2.75
Au 0.5000 0.5000 0.0000 (multiplicity 1)  4 Ga 2.60

***

Sm11Zn9Co4: relaxed, PBE.

- ΔH_f (0 K): -0.26 eV per atom
- ρ: 7.76 g/cm3
- M_tot: 0.243 μB/f.u.

Cell: 13.8985 20.9286 3.6484 Å, 90.00 90.00 90.00°
Closest atoms and distances in Å follow each position.
Space group Cmmm (No. 65)
Inequivalent atoms, fractional coordinates:
Sm 0.0000 0.0000 0.0000 (multiplicity 2)  8 Zn 3.11
Sm 0.0000 0.1675 0.0000 (multiplicity 4)  8 Zn 3.12-3.43, 2 Sm 3.41
Sm 0.0000 0.3739 0.0000 (multiplicity 4)  4 Co 2.83
Sm 0.1947 0.5000 0.0000 (multiplicity 4)  4 Co 2.85
Sm 0.2455 0.1690 0.0000 (multiplicity 8)  2 Co 2.73
Zn 0.0000 0.5000 0.5000 (multiplicity 2)  4 Co 2.97, 8 Sm 3.21-3.26
Zn 0.1011 0.2684 0.5000 (multiplicity 8)  1 Zn 2.81, 1 Co 2.83, 4 Sm 3.10-3.12
Zn 0.1478 0.0697 0.5000 (multiplicity 8)  1 Co 2.87, 1 Zn 2.92, 6 Sm 3.08-3.20
Co 0.1507 0.3993 0.5000 (multiplicity 8)  6 Sm 2.73-2.85, 3 Zn 2.83-2.97

***

YB3Pt: relaxed, PBE.

- ΔH_f (0 K): 2.47 eV per atom
- ρ: 6.04 g/cm3
- M_tot: 0.000 μB/f.u.

Cell: 4.4303 4.4303 4.4303 Å, 90.00 90.00 90.00°
Closest atoms and distances in Å follow each position.
Space group Pm-3m (No. 221)
Inequivalent atoms, fractional coordinates:
Y 0.0000 0.0000 0.0000 (multiplicity 1)  6 B 2.22
B 0.0000 0.0000 0.5000 (multiplicity 3)  2 Y 2.22
Pt 0.5000 0.5000 0.5000 (multiplicity 1)  12 B 3.13

***

Er4Tl5Hg2: relaxed, PBE.

- ΔH_f (0 K): -0.27 eV per atom
- ρ: 11.78 g/cm3
- M_tot: 0.000 μB/f.u.

Cell: 8.3489 3.5940 9.8300 Å, 90.00 91.13 90.00°
Closest atoms and distances in Å follow each position.
Space group P2/m (No. 10)
Inequivalent atoms, fractional coordinates:
Er 0.2184 0.0000 0.3628 (multiplicity 2)  2 Hg 3.09, 8 Tl 3.23-3.46
Er 0.2324 0.0000 0.8977 (multiplicity 2)  4 Hg 3.16-3.23, 4 Tl 3.20-3.31
Tl 0.1346 0.5000 0.6258 (multiplicity 2)  1 Hg 3.07, 4 Er 3.24-3.31, 2 Tl 3.31
Tl 0.4598 0.5000 0.1615 (multiplicity 2)  1 Hg 3.11, 4 Er 3.20-3.37, 2 Tl 3.26-3.34
Tl 0.5000 0.5000 0.5000 (multiplicity 1)  4 Er 3.23, 6 Tl 3.31-3.59
Hg 0.0885 0.5000 0.1297 (multiplicity 2)  1 Hg 2.92, 2 Tl 3.07-3.11, 6 Er 3.09-3.23

***

BaNaTlSb: relaxed, PBE.

- ρ: 5.93 g/cm3
- E_tot: -2.8836 eV/atom
- M_tot: 0.000 μB/f.u.

Cell: 8.1663 8.1663 8.1663 Å, 90.00 90.00 90.00°
Closest atoms and distances in Å follow each position.
Space group F-43m (No. 216)
Inequivalent atoms, fractional coordinates:
Ba 0.0000 0.0000 0.0000 (multiplicity 4)  4 Sb 3.54, 4 Tl 3.54
Na 0.0000 0.0000 0.5000 (multiplicity 4)  4 Tl 3.54, 4 Sb 3.54
Tl 0.2500 0.2500 0.7500 (multiplicity 4)  4 Ba 3.54, 4 Na 3.54
Sb 0.2500 0.2500 0.2500 (multiplicity 4)  4 Na 3.54, 4 Ba 3.54

***

KNaAlIn: relaxed, PBE.

- ΔH_f (0 K): 0.10 eV per atom
- ρ: 3.14 g/cm3
- M_tot: 0.000 μB/f.u.

Cell: 7.5554 7.5554 7.5554 Å, 90.00 90.00 90.00°
Closest atoms and distances in Å follow each position.
Space group F-43m (No. 216)
Inequivalent atoms, fractional coordinates:
K 0.0000 0.0000 0.0000 (multiplicity 4)  4 Al 3.27, 4 Na 3.27
Na 0.2500 0.2500 0.7500 (multiplicity 4)  4 In 3.27, 4 K 3.27
Al 0.2500 0.2500 0.2500 (multiplicity 4)  4 In 3.27, 4 K 3.27
In 0.0000 0.0000 0.5000 (multiplicity 4)  4 Na 3.27, 4 Al 3.27

***

Be2CdBr: relaxed, PBE.

- ρ: 5.08 g/cm3
- E_tot: -1.7985 eV/atom
- M_tot: 0.000 μB/f.u.

Cell: 3.0968 3.0968 7.1718 Å, 90.00 90.00 90.00°
Closest atoms and distances in Å follow each position.
Space group P4/mmm (No. 123)
Inequivalent atoms, fractional coordinates:
Be 0.0000 0.0000 0.2327 (multiplicity 2)  4 Cd 2.75, 4 Br 2.91
Cd 0.5000 0.5000 0.0000 (multiplicity 1)  8 Be 2.75
Br 0.5000 0.5000 0.5000 (multiplicity 1)  8 Be 2.91, 4 Br 3.10

***

PmNd2Sn9: relaxed, PBE.

- ΔH_f (0 K): -0.49 eV per atom
- ρ: 7.65 g/cm3
- M_tot: 0.000 μB/f.u.

Cell: 4.7538 4.7538 14.4216 Å, 90.00 90.00 90.00°
Closest atoms and distances in Å follow each position.
Space group P4/mmm (No. 123)
Inequivalent atoms, fractional coordinates:
Pm 0.0000 0.0000 0.0000 (multiplicity 1)  12 Sn 3.36-3.37
Nd 0.0000 0.0000 0.3326 (multiplicity 2)  12 Sn 3.36-3.39
Sn 0.0000 0.5000 0.1657 (multiplicity 4)  8 Sn 3.36-3.38, 2 Pm 3.37, 2 Nd 3.38
Sn 0.0000 0.5000 0.5000 (multiplicity 2)  8 Sn 3.36-3.39, 4 Nd 3.39
Sn 0.5000 0.5000 0.0000 (multiplicity 1)  4 Pm 3.36, 8 Sn 3.37
Sn 0.5000 0.5000 0.3328 (multiplicity 2)  4 Nd 3.36, 8 Sn 3.38-3.39